DFT (PBE) results for Cs2AgSeCl6 after structural relaxation.

Unit cell a=7.513 b=7.513 c=7.697 alpha=60.79 beta=60.79 gamma=90.01
Each line ends with the local moment (μB).
Element x y z (fractional)
Cs 0.750 0.250 0.500  0.00
Cs 0.250 0.750 0.500  0.00
Ag 0.000 0.000 0.000  0.05
Se 0.500 0.500 0.000  0.37
Cl 0.219 0.219 0.561  0.05
Cl 0.729 0.729 0.000  0.03
Cl 0.271 0.729 0.000  0.03
Cl 0.729 0.271 0.000  0.03
Cl 0.271 0.271 0.000  0.03
Cl 0.781 0.781 0.439  0.05

Values from the calculation:
The calculation puts the uncorrected formation energy at -1.04 eV/atom.

=====

DFT (PBE) results for Cs2SmAgCl6 after structural relaxation.

Unit cell a=7.747 b=7.747 c=7.747 alpha=60.00 beta=60.00 gamma=60.00
Element x y z (fractional)
Cs 0.750 0.750 0.750
Cs 0.250 0.250 0.250
Sm 0.000 0.000 0.000
Ag 0.500 0.500 0.500
Cl 0.753 0.247 0.247
Cl 0.247 0.247 0.753
Cl 0.247 0.753 0.753
Cl 0.247 0.753 0.247
Cl 0.753 0.247 0.753
Cl 0.753 0.753 0.247

Values from the calculation:
The calculation puts the uncorrected formation energy at -1.84 eV/atom.

=====

DFT (PBE) results for CsSm2AgCl8 after structural relaxation.

Unit cell a=7.239 b=7.239 c=8.626 alpha=90.00 beta=90.00 gamma=120.00
Element x y z (fractional)
Cs 0.000 0.000 0.500
Sm 0.667 0.333 0.090
Sm 0.333 0.667 0.910
Ag 0.000 0.000 0.000
Cl 0.938 0.630 0.856
Cl 0.370 0.308 0.856
Cl 0.692 0.062 0.856
Cl 0.062 0.370 0.144
Cl 0.630 0.692 0.144
Cl 0.308 0.938 0.144
Cl 0.667 0.333 0.391
Cl 0.333 0.667 0.609

Values from the calculation:
The calculation puts the uncorrected formation energy at -1.91 eV/atom.

=====

DFT (PBE) results for Cs2SmAg2Cl6 after structural relaxation.

Unit cell a=7.821 b=7.763 c=8.930 alpha=117.27 beta=90.00 gamma=120.25
Each line ends with the local moment (μB).
Element x y z (fractional)
Cs 0.709 0.418 0.177  0.00
Cs 0.291 0.582 0.823  0.00
Sm 0.500 0.000 0.500  0.03
Ag 0.952 0.905 0.822  0.14
Ag 0.048 0.095 0.178  0.14
Cl 0.725 0.450 0.579  0.02
Cl 0.206 0.884 0.242  0.02
Cl 0.322 0.116 0.758  0.02
Cl 0.794 0.116 0.758  0.02
Cl 0.678 0.884 0.242  0.02
Cl 0.275 0.550 0.421  0.02

Values from the calculation:
The calculation puts the uncorrected formation energy at -1.51 eV/atom.

=====

DFT (PBE) results for Cs2AgSnCl6 after structural relaxation.

Unit cell a=7.574 b=7.574 c=7.599 alpha=60.11 beta=60.11 gamma=90.00
Element x y z (fractional)
Cs 0.750 0.250 0.500
Cs 0.250 0.750 0.500
Sn 0.000 0.000 0.000
Ag 0.500 0.500 0.000
Cl 0.247 0.247 0.507
Cl 0.753 0.753 0.493
Cl 0.248 0.248 0.000
Cl 0.752 0.752 0.000
Cl 0.752 0.248 0.000
Cl 0.248 0.752 0.000

Values from the calculation:
The calculation puts the uncorrected formation energy at -1.33 eV/atom.

=====

DFT (PBE) results for Cs3AgSn2Cl9 after structural relaxation.

Unit cell a=7.706 b=7.706 c=9.462 alpha=90.00 beta=90.00 gamma=120.00
Element x y z (fractional)
Cs 0.333 0.667 0.661
Cs 0.000 0.000 0.000
Cs 0.667 0.333 0.339
Ag 0.000 0.000 0.500
Sn 0.333 0.667 0.177
Sn 0.667 0.333 0.823
Cl 0.833 0.167 0.665
Cl 0.833 0.665 0.665
Cl 0.335 0.167 0.665
Cl 0.665 0.833 0.335
Cl 0.167 0.335 0.335
Cl 0.167 0.833 0.335
Cl 0.500 0.000 0.000
Cl 0.000 0.500 0.000
Cl 0.500 0.500 0.000

Values from the calculation:
The calculation puts the uncorrected formation energy at -1.36 eV/atom.

=====

DFT (PBE) results for Cs3Ag2SnCl9 after structural relaxation.

Unit cell a=7.628 b=7.628 c=9.286 alpha=90.00 beta=90.00 gamma=120.00
Element x y z (fractional)
Cs 0.333 0.667 0.698
Cs 0.000 0.000 0.000
Cs 0.667 0.333 0.302
Ag 0.333 0.667 0.149
Ag 0.667 0.333 0.851
Sn 0.000 0.000 0.500
Cl 0.844 0.156 0.655
Cl 0.844 0.689 0.655
Cl 0.311 0.156 0.655
Cl 0.689 0.844 0.345
Cl 0.156 0.311 0.345
Cl 0.156 0.844 0.345
Cl 0.500 0.000 0.000
Cl 0.000 0.500 0.000
Cl 0.500 0.500 0.000

Values from the calculation:
The calculation puts the uncorrected formation energy at -1.27 eV/atom.

=====

DFT (PBE) results for CsSr3Ag4Cl12 after structural relaxation.

Unit cell a=9.418 b=9.418 c=9.418 alpha=105.13 beta=105.13 gamma=105.13
Each line ends with the local moment (μB).
Element x y z (fractional)
Cs 0.000 0.000 0.000  0.00
Sr 0.565 0.435 0.000  0.00
Sr 0.435 0.000 0.565  0.00
Sr 0.000 0.565 0.435  0.00
Ag 0.917 0.083 0.500  0.10
Ag 0.083 0.500 0.917  0.10
Ag 0.500 0.917 0.083  0.10
Ag 0.500 0.500 0.500  0.04
Cl 0.500 0.334 0.666  0.01
Cl 0.907 0.500 0.093  0.04
Cl 0.093 0.907 0.500  0.04
Cl 0.500 0.093 0.907  0.04
Cl 0.361 0.006 0.248  0.03
Cl 0.248 0.361 0.006  0.03
Cl 0.006 0.248 0.361  0.03
Cl 0.639 0.752 0.994  0.03
Cl 0.994 0.639 0.752  0.03
Cl 0.752 0.994 0.639  0.03
Cl 0.666 0.500 0.334  0.01
Cl 0.334 0.666 0.500  0.01

Values from the calculation:
The calculation puts the uncorrected formation energy at -1.45 eV/atom.

=====

DFT (PBE) results for CsSrAgCl4 after structural relaxation.

Unit cell a=7.180 b=7.183 c=9.637 alpha=90.00 beta=110.33 gamma=90.00
Element x y z (fractional)
Cs 0.743 0.750 0.946
Cs 0.257 0.250 0.054
Sr 0.779 0.750 0.449
Sr 0.221 0.250 0.551
Ag 0.231 0.750 0.319
Ag 0.769 0.250 0.681
Cl 0.029 0.509 0.701
Cl 0.971 0.009 0.299
Cl 0.971 0.491 0.299
Cl 0.029 0.991 0.701
Cl 0.445 0.750 0.159
Cl 0.555 0.250 0.841
Cl 0.483 0.750 0.588
Cl 0.517 0.250 0.412

Values from the calculation:
The calculation puts the uncorrected formation energy at -1.74 eV/atom.

=====

DFT (PBE) results for Cs2SrAg2Cl7 after structural relaxation.

Unit cell a=5.234 b=5.234 c=13.873 alpha=79.15 beta=79.15 gamma=90.00
Element x y z (fractional)
Cs 0.822 0.822 0.355
Cs 0.178 0.178 0.645
Sr 0.000 0.000 0.000
Ag 0.596 0.596 0.809
Ag 0.404 0.404 0.191
Cl 0.500 0.500 0.000
Cl 0.309 0.309 0.383
Cl 0.691 0.691 0.617
Cl 0.922 0.422 0.155
Cl 0.422 0.922 0.155
Cl 0.578 0.078 0.845
Cl 0.078 0.578 0.845

Values from the calculation:
The calculation puts the uncorrected formation energy at -1.41 eV/atom.

=====

DFT (PBE) results for Cs2SrAgCl6 after structural relaxation.

Unit cell a=5.576 b=5.576 c=10.737 alpha=90.00 beta=90.00 gamma=90.00
Element x y z (fractional)
Cs 0.000 0.000 0.727
Cs 0.000 0.000 0.273
Sr 0.500 0.500 0.000
Ag 0.500 0.500 0.500
Cl 0.500 0.000 0.000
Cl 0.500 0.000 0.500
Cl 0.000 0.500 0.000
Cl 0.000 0.500 0.500
Cl 0.500 0.500 0.730
Cl 0.500 0.500 0.270

Values from the calculation:
The value obtained for the excess energy over the best structure of this formula in the dataset is 0.00 kJ/mol of atoms. The calculation puts the uncorrected formation energy at -1.65 eV/atom.

=====

DFT (PBE) results for Cs2SrAgCl6 after structural relaxation.

Unit cell a=7.851 b=7.851 c=7.725 alpha=59.46 beta=59.46 gamma=90.00
Each line ends with the local moment (μB).
Element x y z (fractional)
Cs 0.750 0.250 0.500  0.00
Cs 0.250 0.750 0.500  0.00
Sr 0.500 0.500 0.000  0.02
Ag 0.000 0.000 0.000  0.35
Cl 0.232 0.232 0.535  0.11
Cl 0.768 0.768 0.465  0.11
Cl 0.244 0.244 0.000  0.06
Cl 0.756 0.756 0.000  0.06
Cl 0.756 0.244 0.000  0.06
Cl 0.244 0.756 0.000  0.06

Values from the calculation:
The value obtained for the excess energy over the best structure of this formula in the dataset is 2.49 kJ/mol of atoms. The calculation puts the uncorrected formation energy at -1.62 eV/atom.